A.
This record from Alexandria describes crystalline MgIn4Hg5 at its relaxed geometry. The functional is PBE.

Unit cell a=6.0638 b=7.2699 c=7.2699 alpha=79.98 beta=65.35 gamma=65.35
Closest atoms and distances in Å follow each position.
Fractional positions:
In (0.1473, 0.2360, 0.3852)  6 Hg 3.03-3.21
Hg (0.6541, 0.0000, 0.0000)  2 Mg 2.87-3.19, 4 In 3.21
Hg (0.0630, 0.6354, 0.1609)  1 Mg 2.95, 5 In 3.03-3.12, 1 Hg 3.22
In (0.3833, 0.3852, 0.7640)  6 Hg 3.03-3.21
Hg (0.6984, 0.1609, 0.3646)  1 Mg 2.95, 5 In 3.03-3.12, 1 Hg 3.22
Hg (0.2239, 0.8391, 0.6354)  1 Mg 2.95, 5 In 3.03-3.12, 1 Hg 3.22
Mg (0.1801, 0.0000, 0.0000)  6 Hg 2.87-3.19
In (0.7685, 0.7640, 0.6148)  6 Hg 3.03-3.21
Hg (0.8592, 0.3646, 0.8391)  1 Mg 2.95, 5 In 3.03-3.12, 1 Hg 3.22
In (0.5325, 0.6148, 0.2360)  6 Hg 3.03-3.21

***

B.
This record from Alexandria describes crystalline MgIn4Hg5 at its relaxed geometry. The functional is PBE.

Unit cell a=3.6915 b=3.6915 c=18.7925 alpha=90.00 beta=90.00 gamma=84.30
Closest atoms and distances in Å follow each position.
Fractional positions:
Hg (0.5010, 0.5011, 0.9145)  4 Mg 2.95-3.18, 2 In 3.13, 1 Hg 3.21
In (0.0007, 0.0009, 0.8124)  8 Hg 3.13-3.36
Mg (0.0000, 0.0000, 0.0000)  8 Hg 2.95-3.18
In (0.9993, 0.9991, 0.1876)  8 Hg 3.13-3.36
Hg (0.4998, 0.4996, 0.2909)  8 In 3.15-3.38
Hg (0.4990, 0.4989, 0.0855)  4 Mg 2.95-3.18, 2 In 3.13, 1 Hg 3.21
Hg (0.5000, 0.5000, 0.5000)  8 In 3.16-3.37
In (0.9994, 0.9992, 0.3959)  8 Hg 3.16-3.38
In (0.0006, 0.0008, 0.6041)  8 Hg 3.16-3.38
Hg (0.5002, 0.5004, 0.7091)  8 In 3.15-3.38

***

Most stable: B